meta-GGA SCAN Zr2CuSi4, PBEsol geometry; spin magnetization = 0.00 μB/f.u.; raw total energy = -17.25 eV per atom; ΔE_f (raw) = -4.1 eV/f.u.
1.0
3.664 0.000 0.000
0.000 3.676 0.000
0.000 1.838 16.243
Zr Cu Si
4 2 8
direct
0.750 0.677 0.646
0.250 0.323 0.354
0.750 0.954 0.093
0.250 0.046 0.907
0.750 0.250 0.500
0.250 0.750 0.500
0.750 0.524 0.951
0.250 0.476 0.049
0.750 0.388 0.225
0.250 0.612 0.775
0.750 0.113 0.775
0.250 0.887 0.225
0.750 0.797 0.406
0.250 0.203 0.594

=====

meta-GGA SCAN Zr3CuSi, PBEsol geometry; spin magnetization = 0.00 μB/f.u.; raw total energy = -23.12 eV per atom; ΔE_f (raw) = 1.7 eV/f.u.
1.0
4.775 0.000 0.000
0.000 4.775 0.000
0.000 0.000 4.775
Si Cu Zr
1 1 3
direct
0.500 0.500 0.500
0.000 0.000 0.000
0.000 0.500 0.000
0.000 0.000 0.500
0.500 0.000 0.000

=====

meta-GGA SCAN Zr3Cu4Si6, PBEsol geometry; spin magnetization = 0.00 μB/f.u.; raw total energy = -16.93 eV per atom; ΔE_f (raw) = -7.1 eV/f.u.
1.0
3.692 0.000 0.000
0.000 3.692 0.000
-1.846 -1.846 13.943
Cu Si Zr
4 6 3
direct
0.909 0.409 0.819
0.409 0.909 0.819
0.091 0.591 0.181
0.591 0.091 0.181
0.750 0.250 0.500
0.250 0.750 0.500
0.541 0.541 0.082
0.459 0.459 0.918
0.147 0.147 0.293
0.853 0.853 0.707
0.000 0.000 0.000
0.675 0.675 0.349
0.325 0.325 0.651

=====

meta-GGA SCAN Zr2CuSi, PBEsol geometry; spin magnetization = 0.00 μB/f.u.; raw total energy = -21.92 eV per atom; ΔE_f (raw) = -1.1 eV/f.u.
1.0
3.712 -0.036 -0.026
-1.828 3.231 0.026
-1.827 -1.075 6.370
Cu Si Zr
1 1 2
direct
0.500 0.500 0.000
0.500 0.000 0.500
0.007 0.253 0.260
0.993 0.747 0.740

=====

meta-GGA SCAN ZrCuSi2, PBEsol geometry; spin magnetization = 0.00 μB/f.u.; raw total energy = -16.30 eV per atom; ΔE_f (raw) = 0.7 eV/f.u.
1.0
4.442 0.000 0.000
2.221 3.847 0.000
2.221 1.282 3.627
Cu Si Zr
1 2 1
direct
0.500 0.500 0.500
0.000 0.000 0.000
0.750 0.750 0.750
0.250 0.250 0.250

=====

meta-GGA SCAN Zr4CuSi, PBEsol geometry; spin magnetization = 0.00 μB/f.u.; raw total energy = -24.09 eV per atom; ΔE_f (raw) = 3.5 eV/f.u.
1.0
-1.644 0.944 -5.164
-1.926 -4.136 -3.073
-5.348 -0.225 -1.269
Cu Si Zr
1 1 4
direct
0.750 0.750 0.750
0.000 0.000 0.000
0.375 0.375 0.375
0.375 0.375 0.876
0.876 0.375 0.375
0.375 0.876 0.375